Record 1
# Ta2BeBPd (GGA-PBE, optimized geometry)
# Total moment (μB/cell): 0.00
# DFT total energy (eV/atom): -7.4537
# Crystal system: tetragonal
# D(E_F) (states/eV/cell): 4.19
data_Ta2BeBPd
_cell_length_a 4.5374
_cell_length_b 4.5374
_cell_length_c 3.3448
_cell_angle_alpha 90.00
_cell_angle_beta 90.00
_cell_angle_gamma 90.00
_symmetry_space_group_name_H-M 'P 4/m m m'
_symmetry_Int_Tables_number 123
_symmetry_space_group_name_Hall '-P 4 2'
loop_
_atom_site_label
_atom_site_fract_x
_atom_site_fract_y
_atom_site_fract_z
Ta1 0.0000 0.5000 0.0000
Be1 0.0000 0.0000 0.0000
B1 0.0000 0.0000 0.5000
Pd1 0.5000 0.5000 0.5000


Record 2
# Be2BTePd (GGA-PBE, optimized geometry)
# Raw formation energy (eV per atom): 0.66
# Total moment (μB/cell): 0.00
# Crystal system: tetragonal
# D(E_F) (states/eV/cell): 2.47
data_Be2BTePd
_cell_length_a 4.4649
_cell_length_b 4.4649
_cell_length_c 4.0526
_cell_angle_alpha 90.00
_cell_angle_beta 90.00
_cell_angle_gamma 90.00
_symmetry_space_group_name_H-M 'P 4/m m m'
_symmetry_Int_Tables_number 123
_symmetry_space_group_name_Hall '-P 4 2'
loop_
_atom_site_label
_atom_site_fract_x
_atom_site_fract_y
_atom_site_fract_z
Be1 0.0000 0.5000 0.0000
B1 0.0000 0.0000 0.5000
Te1 0.5000 0.5000 0.5000
Pd1 0.0000 0.0000 0.0000


Record 3
# Y2BeBPd (GGA-PBE, optimized geometry)
# Total moment (μB/cell): 0.00
# DFT total energy (eV/atom): -6.0395
# Crystal system: tetragonal
# D(E_F) (states/eV/cell): 3.61
data_Y2BeBPd
_cell_length_a 5.0882
_cell_length_b 5.0882
_cell_length_c 3.6039
_cell_angle_alpha 90.00
_cell_angle_beta 90.00
_cell_angle_gamma 90.00
_symmetry_space_group_name_H-M 'P 4/m m m'
_symmetry_Int_Tables_number 123
_symmetry_space_group_name_Hall '-P 4 2'
loop_
_atom_site_label
_atom_site_fract_x
_atom_site_fract_y
_atom_site_fract_z
Y1 0.0000 0.5000 0.0000
Be1 0.0000 0.0000 0.5000
B1 0.0000 0.0000 0.0000
Pd1 0.5000 0.5000 0.5000


Record 4
# BeZnBPd2 (GGA-PBE, optimized geometry)
# Total moment (μB/cell): 0.00
# DFT total energy (eV/atom): -4.2614
# Crystal system: tetragonal
# D(E_F) (states/eV/cell): 2.63
data_BeZnBPd2
_cell_length_a 4.1387
_cell_length_b 4.1387
_cell_length_c 3.9642
_cell_angle_alpha 90.00
_cell_angle_beta 90.00
_cell_angle_gamma 90.00
_symmetry_space_group_name_H-M 'P 4/m m m'
_symmetry_Int_Tables_number 123
_symmetry_space_group_name_Hall '-P 4 2'
loop_
_atom_site_label
_atom_site_fract_x
_atom_site_fract_y
_atom_site_fract_z
Be1 0.0000 0.0000 0.0000
Zn1 0.5000 0.5000 0.0000
B1 0.5000 0.5000 0.5000
Pd1 0.0000 0.5000 0.5000